DFT (GGA+U) results for a relaxed CrFe2O5 crystal.

The energy above the most stable polymorph in this dataset is 0.0054 eV/atom. The calculated volume comes out at 372.1 Å³/cell.

```
data_CrFe2O5
_chemical_formula_sum 'Cr4 Fe8 O20'
_cell_length_a 3.7766
_cell_length_b 9.9551
_cell_length_c 9.8965
_cell_angle_alpha 90.00
_cell_angle_beta 90.00
_cell_angle_gamma 90.00
_space_group_name_H-M_alt 'C m c m'
_space_group_IT_number 63
_space_group_name_Hall '-C 2c 2'
loop_
_atom_site_label
_atom_site_fract_x
_atom_site_fract_y
_atom_site_fract_z
Cr1 0.0000 0.1821 0.2500
Fe1 0.0000 0.1401 0.5626
O1 0.0000 0.0484 0.1184
O2 0.0000 0.2534 0.7500
O3 0.0000 0.3045 0.0829
```